Compound: CsZr2Ga
Source: Alexandria
Functional: PBE
Structure: relaxed

abc: 5.2870 5.2870 20.4957
angles: 90.00 90.00 90.00
Sites, in units of the cell vectors:
Cs 0.0000 0.0000 0.0000
Cs 0.0000 0.5000 0.2500
Cs 0.5000 0.0000 0.7500
Cs 0.5000 0.5000 0.5000
Zr 0.0565 0.2500 0.6250
Zr 0.2500 0.5565 0.8750
Zr 0.2500 0.9435 0.3750
Zr 0.4435 0.2500 0.1250
Zr 0.5565 0.7500 0.1250
Zr 0.7500 0.0565 0.3750
Zr 0.7500 0.4435 0.8750
Zr 0.9435 0.7500 0.6250
Ga 0.0000 0.0000 0.5000
Ga 0.0000 0.5000 0.7500
Ga 0.5000 0.0000 0.2500
Ga 0.5000 0.5000 0.0000

Results
The symmetry is No. 122. The total magnetization comes out at 0.00 μB/f.u. The calculation puts the total energy at -4.286 eV/atom.

=====

Compound: Cr5B2Os4
Source: Alexandria
Functional: PBE
Structure: relaxed

abc: 6.2691 2.7662 7.6038
angles: 90.00 98.17 90.00
Sites, in units of the cell vectors:
Cr 0.0000 0.0000 0.0000
Cr 0.0316 0.0000 0.3330
Cr 0.3251 0.0000 0.8739
Cr 0.6749 0.0000 0.1261
Cr 0.9684 0.0000 0.6670
B 0.4224 0.0000 0.3827
B 0.5776 0.0000 0.6173
Os 0.2917 0.5000 0.5764
Os 0.3171 0.5000 0.1691
Os 0.6829 0.5000 0.8309
Os 0.7083 0.5000 0.4236

Results
The symmetry is No. 10. The total magnetization comes out at 0.00 μB/f.u. The calculation puts the total energy at -9.615 eV/atom.

=====

Compound: MgPaCoH6
Source: Alexandria
Functional: PBE
Structure: relaxed

abc: 4.3821 4.3821 4.3567
angles: 90.00 90.00 120.00
Sites, in units of the cell vectors:
Mg 0.0000 0.0000 0.0000
Pa 0.6667 0.3333 0.5000
Co 0.3333 0.6667 0.0000
H 0.1850 0.3700 0.2878
H 0.1850 0.3700 0.7122
H 0.1850 0.8150 0.2878
H 0.1850 0.8150 0.7122
H 0.6300 0.8150 0.2878
H 0.6300 0.8150 0.7122

Results
The symmetry is No. 187. The total magnetization comes out at 0.00 μB/f.u. The calculation puts the total energy at -4.438 eV/atom.

=====

Q: Number 1 is which compound?
A: CsZr2Ga